Entry 1:
Here is Tl5Sb after structural relaxation from Alexandria via LeMat-Bulk. Energies are from PBEsol.

Output
Energy above the lowest structure with this stoichiometry = 0.026 eV/atom
Symmetry = P4/mmm, No. 123

Cell: 3.4487 3.4487 14.1894 Å, 90.00 90.00 90.00°
Last column: nearest neighbours and their distance in Å.
Element x y z (fractional)
Tl 0.0000 0.0000 0.0000  12 Tl 3.38-3.45
Tl 0.0000 0.0000 0.3382  4 Sb 3.35, 8 Tl 3.45-3.46
Tl 0.0000 0.0000 0.6618  4 Sb 3.35, 8 Tl 3.45-3.46
Tl 0.5000 0.5000 0.1651  12 Tl 3.38-3.46
Tl 0.5000 0.5000 0.8349  12 Tl 3.38-3.46
Sb 0.5000 0.5000 0.5000  8 Tl 3.35, 4 Sb 3.45



Entry 2:
Here is RbLiMn2Ni after structural relaxation from Alexandria via LeMat-Bulk. Energies are from PBEsol.

Output
Energy relative to the elements = 1.7050 eV/atom
Symmetry = P4/mmm, No. 123

Cell: 4.5820 4.5820 4.9094 Å, 90.00 90.00 90.00°
Last column: nearest neighbours and their distance in Å.
Element x y z (fractional)
Rb 0.0000 0.0000 0.0000  2 Li 2.45
Li 0.0000 0.0000 0.5000  4 Mn 2.29, 2 Rb 2.45
Mn 0.0000 0.5000 0.5000  2 Li 2.29
Mn 0.5000 0.0000 0.5000  2 Li 2.29
Ni 0.5000 0.5000 0.0000  4 Rb 3.24, 8 Mn 3.36



Entry 3:
Here is Sr2ScPd2 after structural relaxation from Alexandria via LeMat-Bulk. Energies are from PBEsol.

Output
Energy relative to the elements = 0.0525 eV/atom
Symmetry = I4/mmm, No. 139

Cell: 7.2302 7.2302 7.2302 Å, 144.00 144.00 51.83°
Last column: nearest neighbours and their distance in Å.
Element x y z (fractional)
Sr 0.2500 0.7500 0.5000  4 Pd 3.00, 4 Sr 3.16
Sr 0.7500 0.2500 0.5000  4 Pd 3.00, 4 Sr 3.16
Sc 0.0000 0.0000 0.0000  8 Pd 3.40
Pd 0.4038 0.4038 0.0000  1 Pd 2.50
Pd 0.5962 0.5962 0.0000  1 Pd 2.50



Entry 4:
Here is H2S after structural relaxation from Alexandria via LeMat-Bulk. Energies are from PBEsol.

Output
Energy above the lowest structure with this stoichiometry = 0.014 eV/atom
Symmetry = P1, No. 1

Cell: 4.7458 5.6286 5.9058 Å, 86.02 89.35 88.63°
Last column: nearest neighbours and their distance in Å.
Element x y z (fractional)
H 0.0000 0.0000 0.0000  1 S 1.37
H 0.0072 0.6764 0.7297  1 S 1.37
H 0.1732 0.0024 0.4982  1 S 1.37
H 0.3861 0.4219 0.3901  1 S 1.36
H 0.4989 0.8263 0.6526  1 S 1.38
H 0.5095 0.6728 0.1632  1 S 1.38
H 0.6811 0.1759 0.1473  1 S 1.38
H 0.9069 0.5045 0.4694  1 S 1.36
S 0.3306 0.4829 0.1676  2 H 1.36-1.38
S 0.3342 0.0260 0.6868  2 H 1.37-1.38
S 0.8292 0.4953 0.6927  2 H 1.36-1.37
S 0.8421 0.9721 0.1955  2 H 1.37-1.38



Entry 5:
Here is PRhPb2W after structural relaxation from Alexandria via LeMat-Bulk. Energies are from PBEsol.

Output
Energy relative to the elements = 1.2744 eV/atom
Symmetry = P4/mmm, No. 123

Cell: 5.1107 5.1107 4.7728 Å, 90.00 90.00 90.00°
Last column: nearest neighbours and their distance in Å.
Element x y z (fractional)
P 0.0000 0.0000 0.0000  8 Pb 3.50, 4 W 3.61
Rh 0.5000 0.5000 0.5000  2 W 2.39, 4 Pb 2.56
Pb 0.0000 0.5000 0.5000  2 Rh 2.56
Pb 0.5000 0.0000 0.5000  2 Rh 2.56
W 0.5000 0.5000 0.0000  2 Rh 2.39



Entry 6:
Here is AgPb3 after structural relaxation from Alexandria via LeMat-Bulk. Energies are from PBEsol.

Output
Energy relative to the elements = 0.0694 eV/atom
Symmetry = Pnma, No. 62

Cell: 7.6214 9.2995 6.4354 Å, 90.00 90.00 90.00°
Last column: nearest neighbours and their distance in Å.
Element x y z (fractional)
Ag 0.1034 0.2500 0.0635  8 Pb 3.01-3.15
Ag 0.3966 0.7500 0.5635  8 Pb 3.01-3.15
Ag 0.6034 0.2500 0.4365  8 Pb 3.01-3.15
Ag 0.8966 0.7500 0.9365  8 Pb 3.01-3.15
Pb 0.0066 0.7500 0.4038  2 Ag 3.12-3.15, 2 Pb 3.48
Pb 0.1904 0.5414 0.8496  3 Ag 3.01-3.11
Pb 0.1904 0.9586 0.8496  3 Ag 3.01-3.11
Pb 0.3096 0.0414 0.3496  3 Ag 3.01-3.11
Pb 0.3096 0.4586 0.3496  3 Ag 3.01-3.11
Pb 0.4934 0.2500 0.9038  2 Ag 3.12-3.15, 2 Pb 3.48
Pb 0.5066 0.7500 0.0962  2 Ag 3.12-3.15, 2 Pb 3.48
Pb 0.6904 0.5414 0.6504  3 Ag 3.01-3.11
Pb 0.6904 0.9586 0.6504  3 Ag 3.01-3.11
Pb 0.8096 0.0414 0.1504  3 Ag 3.01-3.11
Pb 0.8096 0.4586 0.1504  3 Ag 3.01-3.11
Pb 0.9934 0.2500 0.5962  2 Ag 3.12-3.15, 2 Pb 3.48



no.,total magnetization (μB/f.u.),calculated volume (Å³/cell),E_tot (eV/atom)
1,0.00,168.8,-2.94
2,8.05,103.1,-4.03
3,0.00,129.8,-4.39
4,0.00,157.3,-3.80
5,1.97,124.7,-5.87
6,0.00,456.1,-3.76